Crystalline Mg2CdNi at its relaxed geometry, computed with PBE.

Unit cell a=3.0437 b=4.4282 c=5.6006 alpha=90.00 beta=105.73 gamma=90.00
With the nearest neighbours (Å) after each atom.
Space group Pm (No. 6)
Symmetry-distinct sites (fractional):
Mg 0.0000 0.0000 0.0000 (multiplicity 1)  4 Ni 2.84-2.85, 3 Cd 2.87-2.95, 2 Mg 3.04
Mg 0.3356 0.5000 0.6706 (multiplicity 1)  1 Ni 2.71, 4 Cd 2.93-2.94
Cd 0.7275 0.0000 0.4521 (multiplicity 1)  2 Ni 2.68, 7 Mg 2.87-2.95
Ni 0.5846 0.5000 0.1735 (multiplicity 1)  2 Cd 2.68, 5 Mg 2.71-2.85

Summary:
- DOS at the Fermi energy (states/eV/cell) = 1.8
- DFT formation energy (eV per atom) = -0.0327

***

Crystalline AcPr10Sm4 at its relaxed geometry, computed with PBE.

Unit cell a=12.9575 b=12.9575 c=7.0355 alpha=90.00 beta=90.00 gamma=90.00
With the nearest neighbours (Å) after each atom.
Space group I4/m (No. 87)
Symmetry-distinct sites (fractional):
Ac 0.0000 0.0000 0.0000 (multiplicity 2)  8 Sm 4.30, 8 Pr 4.49
Pr 0.0000 0.5000 0.2500 (multiplicity 4)  6 Pr 3.18-3.52
Pr 0.1295 0.7084 0.2476 (multiplicity 16)  4 Pr 3.18-3.55, 3 Sm 3.43-3.55
Sm 0.0672 0.1783 0.5000 (multiplicity 8)  6 Pr 3.43-3.55, 2 Sm 3.49

Summary:
- DOS at the Fermi energy (states/eV/cell) = 51.3
- DFT formation energy (eV per atom) = 0.4583

***

Crystalline Ga2Co at its relaxed geometry, computed with PBE.

Unit cell a=3.9898 b=3.9898 c=11.4539 alpha=90.00 beta=90.00 gamma=90.00
With the nearest neighbours (Å) after each atom.
Space group I4/mmm (No. 139)
Symmetry-distinct sites (fractional):
Ga 0.0000 0.5000 0.0000 (multiplicity 4)  4 Co 2.40
Ga 0.0000 0.5000 0.2500 (multiplicity 4)  4 Co 2.51
Co 0.0000 0.0000 0.1170 (multiplicity 4)  8 Ga 2.40-2.51, 1 Co 2.68

Summary:
- DOS at the Fermi energy (states/eV/cell) = 8.5
- DFT formation energy (eV per atom) = -0.2143

***

Crystalline KIr3Pb at its relaxed geometry, computed with PBE.

Unit cell a=4.8413 b=4.8413 c=4.8413 alpha=90.00 beta=90.00 gamma=90.00
With the nearest neighbours (Å) after each atom.
Space group Pm-3m (No. 221)
Symmetry-distinct sites (fractional):
K 0.0000 0.0000 0.0000 (multiplicity 1)  6 Ir 2.42
Ir 0.0000 0.0000 0.5000 (multiplicity 3)  2 K 2.42
Pb 0.5000 0.5000 0.5000 (multiplicity 1)  12 Ir 3.42

Summary:
- DOS at the Fermi energy (states/eV/cell) = 6.2
- DFT formation energy (eV per atom) = 2.7191

***

Crystalline CuBiS2O8 at its relaxed geometry, computed with PBE.

Unit cell a=5.2277 b=5.2277 c=6.9446 alpha=90.00 beta=90.00 gamma=120.00
With the nearest neighbours (Å) after each atom.
Space group P-3m1 (No. 164)
Symmetry-distinct sites (fractional):
Cu 0.0000 0.0000 0.0000 (multiplicity 1)  6 O 2.25
Bi 0.0000 0.0000 0.5000 (multiplicity 1)  6 O 2.48
S 0.3333 0.6667 0.7022 (multiplicity 2)  4 O 1.49-1.50
O 0.1765 0.3530 0.7723 (multiplicity 6)  1 S 1.50
O 0.3333 0.6667 0.4878 (multiplicity 2)  1 S 1.49

Summary:
- E_form (uncorrected) (meV/atom) = -1138

***

Crystalline TlRe2 at its relaxed geometry, computed with PBE.

Unit cell a=3.5908 b=3.5908 c=4.7877 alpha=90.00 beta=90.00 gamma=90.00
With the nearest neighbours (Å) after each atom.
Space group P4/mmm (No. 123)
Symmetry-distinct sites (fractional):
Tl 0.0000 0.0000 0.0000 (multiplicity 1)  8 Re 2.99
Re 0.0000 0.5000 0.5000 (multiplicity 2)  4 Re 2.54

Summary:
- DOS at the Fermi energy (states/eV/cell) = 3.4
- DFT formation energy (eV per atom) = 1.1748

***

Number 1: calculated total energy -10.02 eV for the cell shown. Number 2: calculated total energy -127.81 eV for the cell shown. Number 3: calculated total energy -55.21 eV for the cell shown. Number 4: calculated total energy -17.79 eV for the cell shown. Number 5: calculated total energy -69.56 eV for the cell shown. Number 6: calculated total energy -23.74 eV for the cell shown.